[1]
# YRe2N

YRe2N after structural relaxation (PBE, the Alexandria database).

Values from the calculation:
* calculated volume: 78.8 Å³/f.u.
* D(E_F): 0.839 states/eV per atom
* calculated total energy: -9.392 eV/atom
* raw formation energy: 2.12 eV per formula unit
* magnetic moment: 0.00 μB/f.u.

a = 5.0263 Å, b = 5.0263 Å, c = 7.1790 Å
α = 69.51°, β = 69.51°, γ = 90.00°
Sites, in units of the cell vectors:
Y1 0.0000 0.0000 0.0000
Y2 0.7500 0.2500 0.5000
Re1 0.3752 0.1250 0.2500
Re2 0.3748 0.6250 0.2500
Re3 0.3750 0.6248 0.7500
Re4 0.8750 0.6252 0.7500
N1 0.5000 0.5000 0.0000
N2 0.2500 0.7500 0.5000

---

[2]
# YReN3

YReN3 after structural relaxation (PBE, the Alexandria database).

Values from the calculation:
* calculated volume: 55.0 Å³/f.u.
* D(E_F): 0.309 states/eV per atom
* calculated total energy: -8.912 eV/atom
* raw formation energy: -0.67 eV per formula unit
* magnetic moment: 0.00 μB/f.u.

a = 3.9438 Å, b = 3.9438 Å, c = 8.1736 Å
α = 90.00°, β = 90.00°, γ = 120.00°
Sites, in units of the cell vectors:
Y1 0.3333 0.6667 0.7500
Y2 0.6667 0.3333 0.2500
Re1 0.0000 0.0000 0.0000
Re2 0.0000 0.0000 0.5000
N1 0.0000 0.0000 0.2500
N2 0.0000 0.0000 0.7500
N3 0.3333 0.6667 0.0358
N4 0.3333 0.6667 0.4642
N5 0.6667 0.3333 0.5358
N6 0.6667 0.3333 0.9642

---

[3]
# Y3Re2N6

Y3Re2N6 after structural relaxation (PBE, the Alexandria database).

Values from the calculation:
* calculated volume: 143.6 Å³/f.u.
* D(E_F): 0.413 states/eV per atom
* calculated total energy: -9.438 eV/atom
* raw formation energy: -9.57 eV per formula unit
* magnetic moment: 0.00 μB/f.u.

a = 3.9063 Å, b = 3.9063 Å, c = 9.8065 Å
α = 101.49°, β = 101.49°, γ = 90.00°
Sites, in units of the cell vectors:
Y1 0.0000 0.0000 0.0000
Y2 0.8153 0.8153 0.6307
Y3 0.1847 0.1847 0.3693
Re1 0.4100 0.4100 0.8200
Re2 0.5900 0.5900 0.1800
N1 0.0855 0.5855 0.1711
N2 0.5855 0.0855 0.1711
N3 0.9145 0.4145 0.8289
N4 0.4145 0.9145 0.8289
N5 0.6988 0.6988 0.3976
N6 0.3012 0.3012 0.6024